Record 1
Density functional theory data (PBE) for an optimized crystal structure of SiNiB.

Values from the calculation:
Energy relative to the lowest polymorph listed for this composition   155.6 meV per atom

CIF file:
```
data_SiNiB
_space_group_name_H-M_alt 'F -4 3 m'
_space_group_IT_number 216
_space_group_name_Hall 'F -4 2 3'
_cell_length_a 5.049
_cell_length_b 5.049
_cell_length_c 5.049
_cell_angle_alpha 90.00
_cell_angle_beta 90.00
_cell_angle_gamma 90.00
loop_
_atom_site_label
_atom_site_fract_x
_atom_site_fract_y
_atom_site_fract_z
Si1 0.000 0.000 0.000
Ni1 0.250 0.250 0.750
B1 0.000 0.000 0.500
```

=====

Record 2
Density functional theory data (PBE) for an optimized crystal structure of KHg2Pd2.

Values from the calculation:
Energy relative to the lowest polymorph listed for this composition   57.4 meV per atom

CIF file:
```
data_KHg2Pd2
_space_group_name_H-M_alt 'I 4/m m m'
_space_group_IT_number 139
_space_group_name_Hall '-I 4 2'
_cell_length_a 4.391
_cell_length_b 4.391
_cell_length_c 12.573
_cell_angle_alpha 90.00
_cell_angle_beta 90.00
_cell_angle_gamma 90.00
loop_
_atom_site_label
_atom_site_fract_x
_atom_site_fract_y
_atom_site_fract_z
K1 0.000 0.000 0.000
Hg1 0.000 0.000 0.385
Pd1 0.000 0.500 0.250
```

=====

Record 3
Density functional theory data (PBE) for an optimized crystal structure of KPmEr.

Values from the calculation:
Energy relative to the lowest polymorph listed for this composition   0.0 meV per atom

CIF file:
```
data_KPmEr
_space_group_name_H-M_alt 'F -4 3 m'
_space_group_IT_number 216
_space_group_name_Hall 'F -4 2 3'
_cell_length_a 8.335
_cell_length_b 8.335
_cell_length_c 8.335
_cell_angle_alpha 90.00
_cell_angle_beta 90.00
_cell_angle_gamma 90.00
loop_
_atom_site_label
_atom_site_fract_x
_atom_site_fract_y
_atom_site_fract_z
K1 0.000 0.000 0.000
Pm1 0.000 0.000 0.500
Er1 0.250 0.250 0.250
```

=====

Record 4
Density functional theory data (PBE) for an optimized crystal structure of TmTcW.

Values from the calculation:
Formation enthalpy at 0 K   1774 meV/atom
Energy relative to the lowest polymorph listed for this composition   1094.2 meV per atom

CIF file:
```
data_TmTcW
_space_group_name_H-M_alt 'F -4 3 m'
_space_group_IT_number 216
_space_group_name_Hall 'F -4 2 3'
_cell_length_a 6.316
_cell_length_b 6.316
_cell_length_c 6.316
_cell_angle_alpha 90.00
_cell_angle_beta 90.00
_cell_angle_gamma 90.00
loop_
_atom_site_label
_atom_site_fract_x
_atom_site_fract_y
_atom_site_fract_z
Tm1 0.000 0.000 0.000
Tc1 0.250 0.250 0.750
W1 0.250 0.250 0.250
```

=====

Record 5
Density functional theory data (PBE) for an optimized crystal structure of BaLu2Ni.

Values from the calculation:
E_tot   -3.666 eV/atom

CIF file:
```
data_BaLu2Ni
_space_group_name_H-M_alt 'F -4 3 m'
_space_group_IT_number 216
_space_group_name_Hall 'F -4 2 3'
_cell_length_a 7.616
_cell_length_b 7.616
_cell_length_c 7.616
_cell_angle_alpha 90.00
_cell_angle_beta 90.00
_cell_angle_gamma 90.00
loop_
_atom_site_label
_atom_site_fract_x
_atom_site_fract_y
_atom_site_fract_z
Ba1 0.000 0.000 0.000
Lu1 0.000 0.000 0.500
Lu2 0.250 0.250 0.750
Ni1 0.250 0.250 0.250
```

=====

Record 6
Density functional theory data (PBE) for an optimized crystal structure of Gd2Cd5Ga.

Values from the calculation:
E_tot   -2.434 eV/atom

CIF file:
```
data_Gd2Cd5Ga
_space_group_name_H-M_alt 'A m m 2'
_space_group_IT_number 38
_cell_length_a 4.906
_cell_length_b 6.455
_cell_length_c 11.754
_cell_angle_alpha 90.00
_cell_angle_beta 90.00
_cell_angle_gamma 90.00
loop_
_space_group_symop_operation_xyz
'x,y,z'
'-x,-y,z'
'-x,y,z'
'x,-y,z'
'x,y+1/2,z+1/2'
'-x,-y+1/2,z+1/2'
'-x,y+1/2,z+1/2'
'x,-y+1/2,z+1/2'
loop_
_atom_site_label
_atom_site_fract_x
_atom_site_fract_y
_atom_site_fract_z
Gd1 0.000 0.000 0.000
Gd2 0.500 0.000 0.349
Cd1 0.000 0.000 0.517
Cd2 0.000 0.243 0.754
Cd3 0.500 0.243 0.602
Ga1 0.500 0.000 0.845
```

=====

Record 7
Density functional theory data (PBE) for an optimized crystal structure of NaBAsIr.

Values from the calculation:
Energy relative to the lowest polymorph listed for this composition   0.0 meV per atom

CIF file:
```
data_NaBAsIr
_space_group_name_H-M_alt 'F -4 3 m'
_space_group_IT_number 216
_space_group_name_Hall 'F -4 2 3'
_cell_length_a 6.004
_cell_length_b 6.004
_cell_length_c 6.004
_cell_angle_alpha 90.00
_cell_angle_beta 90.00
_cell_angle_gamma 90.00
loop_
_atom_site_label
_atom_site_fract_x
_atom_site_fract_y
_atom_site_fract_z
Na1 0.000 0.000 0.000
B1 0.250 0.250 0.250
As1 0.250 0.250 0.750
Ir1 0.000 0.000 0.500
```

=====

Record 8
Density functional theory data (PBE) for an optimized crystal structure of SrSm2S3.

Values from the calculation:
E_tot   -5.972 eV/atom

CIF file:
```
data_SrSm2S3
_space_group_name_H-M_alt 'P -3 m 1'
_space_group_IT_number 164
_space_group_name_Hall '-P 3 2"'
_cell_length_a 4.0818
_cell_length_b 4.0818
_cell_length_c 10.0474
_cell_angle_alpha 90.00
_cell_angle_beta 90.00
_cell_angle_gamma 120.00
loop_
_atom_site_label
_atom_site_fract_x
_atom_site_fract_y
_atom_site_fract_z
Sr1 0.0000 0.0000 0.0000
Sm1 0.3333 0.6667 0.6519
S1 0.0000 0.0000 0.5000
S2 0.3333 0.6667 0.1791
```